Entry 1:
Below is a geometry-optimized Zr2Zn2Ga structure, with properties calculated at the PBE level.

Output
The uncorrected energy comes out at -45.78 eV for the cell shown. For the spin magnetization, the calculation gives 0.0 μB per formula unit. The calculated volume is 199.0 Å³/cell. Its crystal system is tetragonal. The calculation puts the density of states at the Fermi level at 3.12 states/eV/f.u.

Unit cell a=7.622 b=7.622 c=3.426 alpha=90.00 beta=90.00 gamma=90.00
Atoms (fractional coordinates):
1 Zn 0.127 0.627 0.500
2 Zn 0.873 0.373 0.500
3 Zr 0.829 0.671 0.000
4 Zr 0.671 0.171 0.000
5 Zr 0.171 0.329 0.000
6 Zr 0.329 0.829 0.000
7 Ga 0.500 0.500 0.000
8 Zn 0.627 0.873 0.500
9 Ga 0.000 0.000 0.000
10 Zn 0.373 0.127 0.500

---

Entry 2:
Below is a geometry-optimized Zr2Zn3Ga2 structure, with properties calculated at the PBE level.

Output
For the spin magnetization, the calculation gives 0.0 μB per formula unit. The calculated volume is 129.8 Å³/cell. Its crystal system is orthorhombic. The energy above the most stable polymorph in this dataset is 136 meV per atom. The calculation puts the density of states at the Fermi level at 4.78 states/eV/f.u.

Unit cell a=3.746 b=3.790 c=9.341 alpha=101.70 beta=90.00 gamma=90.00
Atoms (fractional coordinates):
1 Zn 0.000 0.000 0.000
2 Zn 0.500 0.430 0.861
3 Zr 0.000 0.836 0.671
4 Zr 0.000 0.164 0.329
5 Ga 0.500 0.292 0.584
6 Ga 0.500 0.708 0.416
7 Zn 0.500 0.570 0.139

---

Entry 3:
Below is a geometry-optimized Zr6Zn2Ga structure, with properties calculated at the PBE level.

Output
The uncorrected energy comes out at -116.84 eV for the cell shown. For the spin magnetization, the calculation gives 0.0 μB per formula unit. The calculated volume is 372.0 Å³/cell. Its crystal system is orthorhombic. The calculation puts the density of states at the Fermi level at 11.30 states/eV/f.u.

Unit cell a=7.899 b=7.899 c=7.899 alpha=100.45 beta=116.11 gamma=112.24
Atoms (fractional coordinates):
1 Zr 0.512 0.713 0.799
2 Zr 0.198 0.755 0.953
3 Zn 0.348 0.000 0.348
4 Zr 0.087 0.287 0.799
5 Zr 0.718 0.040 0.322
6 Zr 0.282 0.604 0.322
7 Ga 0.000 0.500 0.500
8 Zn 0.500 0.376 0.876
9 Ga 0.000 0.000 0.000
10 Zn 0.652 0.000 0.652
11 Zr 0.802 0.245 0.047
12 Zr 0.718 0.396 0.678
13 Zr 0.198 0.245 0.443
14 Zr 0.913 0.713 0.201
15 Zn 0.500 0.624 0.124
16 Zr 0.802 0.755 0.557
17 Zr 0.282 0.960 0.678
18 Zr 0.488 0.287 0.201